A relaxed AcLa2SmBi4 crystal. Source: Alexandria, functional PBE.

Unit cell a=8.1643 b=4.7208 c=8.1697 alpha=90.00 beta=109.44 gamma=90.00
Space group P2/m (No. 10)
Symmetry-distinct sites (fractional):
Ac1 0.0000 0.0000 0.0000
La1 0.5000 0.0000 0.5000
La2 0.5000 0.5000 0.0000
Sm1 0.0000 0.5000 0.5000
Bi1 0.2485 0.0000 0.7417
Bi2 0.2546 0.5000 0.2594

Results
Its density of states at the Fermi level is 0.111 states/eV/atom. The calculation puts the final energy at -5.27 eV/atom. The formation energy is -769 kJ/mol of formula units. The volume comes out at 37.11 Å³/atom.

A relaxed Li2MgZrMo crystal. Source: Alexandria, functional PBE.

Unit cell a=4.6028 b=4.6028 c=5.0103 alpha=90.00 beta=90.00 gamma=90.00
Space group P4/mmm (No. 123)
Symmetry-distinct sites (fractional):
Li1 0.0000 0.5000 0.0000
Mg1 0.0000 0.0000 0.5000
Zr1 0.5000 0.5000 0.5000
Mo1 0.0000 0.0000 0.0000

Results
Its density of states at the Fermi level is 0.361 states/eV/atom. The calculation puts the final energy at -3.73 eV/atom. The formation energy is 593 kJ/mol of formula units. The volume comes out at 21.23 Å³/atom.

A relaxed TcPb3 crystal. Source: Alexandria, functional PBE.

Unit cell a=11.0822 b=12.7648 c=3.3315 alpha=90.00 beta=90.00 gamma=90.00
Space group Cmcm (No. 63)
Symmetry-distinct sites (fractional):
Tc1 0.0000 0.0694 0.2500
Pb1 0.0000 0.2872 0.7500
Pb2 0.2213 0.1173 0.7500

Results
Its density of states at the Fermi level is 0.407 states/eV/atom. The calculation puts the final energy at -5.07 eV/atom. The formation energy is 118 kJ/mol of formula units. The volume comes out at 29.46 Å³/atom. Its energy relative to the lowest polymorph listed for this composition is 0.00 kcal/mol of atoms.

A relaxed TmTlZnAu crystal. Source: Alexandria, functional PBE.

Unit cell a=6.9894 b=6.9894 c=6.9894 alpha=90.00 beta=90.00 gamma=90.00
Space group F-43m (No. 216)
Symmetry-distinct sites (fractional):
Tm1 0.0000 0.0000 0.0000
Tl1 0.0000 0.0000 0.5000
Zn1 0.2500 0.2500 0.2500
Au1 0.2500 0.2500 0.7500

Results
Its density of states at the Fermi level is 0.577 states/eV/atom. The calculation puts the final energy at -3.19 eV/atom. The formation energy is -133 kJ/mol of formula units. The volume comes out at 21.34 Å³/atom.